# 1
DFT (PBE-GGA) results for SnBi3Pb7 after structural relaxation.

a = 8.4891 Å, b = 7.0316 Å, c = 7.0316 Å
α = 120.00°, β = 90.00°, γ = 90.00°
With the nearest neighbours (Å) after each atom.
Element x y z (fractional)
1 Sn 0.4372 0.3333 0.6667  9 Pb 3.43-3.52, 3 Bi 3.52
2 Bi 0.7802 0.4953 0.5047  5 Pb 3.40-3.52, 4 Bi 3.42-3.62, 1 Sn 3.52
3 Bi 0.7802 0.4953 0.9906  5 Pb 3.40-3.52, 4 Bi 3.42-3.62, 1 Sn 3.52
4 Bi 0.7802 0.0094 0.5047  5 Pb 3.40-3.52, 4 Bi 3.42-3.62, 1 Sn 3.52
5 Pb 0.1119 0.1667 0.8333  1 Sn 3.43, 2 Bi 3.45, 8 Pb 3.51-3.60
6 Pb 0.1119 0.1667 0.3335  1 Sn 3.43, 2 Bi 3.45, 8 Pb 3.51-3.60
7 Pb 0.1148 0.6667 0.3333  9 Pb 3.52-3.58, 3 Bi 3.52
8 Pb 0.4623 0.8339 0.1661  2 Bi 3.40, 7 Pb 3.50-3.60, 2 Sn 3.52
9 Pb 0.4623 0.3322 0.1661  2 Bi 3.40, 7 Pb 3.50-3.60, 2 Sn 3.52
10 Pb 0.4623 0.8339 0.6678  2 Bi 3.40, 7 Pb 3.50-3.60, 2 Sn 3.52
11 Pb 0.1119 0.6665 0.8333  1 Sn 3.43, 2 Bi 3.45, 8 Pb 3.51-3.60

## Properties
Calculated volume (Å³/cell): 363.50

# 2
DFT (PBE-GGA) results for Sn2Bi2Pb after structural relaxation.

a = 8.9083 Å, b = 8.9083 Å, c = 4.0062 Å
α = 90.00°, β = 90.00°, γ = 90.00°
With the nearest neighbours (Å) after each atom.
Element x y z (fractional)
1 Pb 0.0000 0.0000 0.0000  4 Bi 3.40
2 Pb 0.5000 0.5000 0.0000  4 Bi 3.40
3 Bi 0.3510 0.8510 0.0000  6 Sn 3.28-3.30, 2 Pb 3.40
4 Bi 0.8510 0.6490 0.0000  6 Sn 3.28-3.30, 2 Pb 3.40
5 Bi 0.6490 0.1490 0.0000  6 Sn 3.28-3.30, 2 Pb 3.40
6 Bi 0.1490 0.3510 0.0000  6 Sn 3.28-3.30, 2 Pb 3.40
7 Sn 0.1453 0.6453 0.5000  6 Bi 3.28-3.30, 1 Sn 3.66
8 Sn 0.6453 0.8547 0.5000  6 Bi 3.28-3.30, 1 Sn 3.66
9 Sn 0.8547 0.3547 0.5000  6 Bi 3.28-3.30, 1 Sn 3.66
10 Sn 0.3547 0.1453 0.5000  6 Bi 3.28-3.30, 1 Sn 3.66

## Properties
Relative energy among the computed polymorphs (meV per atom): 47
Calculated volume (Å³/cell): 317.93

# 3
DFT (PBE-GGA) results for SnBi2Pb4 after structural relaxation.

a = 8.4571 Å, b = 6.7802 Å, c = 8.9186 Å
α = 90.00°, β = 119.23°, γ = 90.00°
With the nearest neighbours (Å) after each atom.
Element x y z (fractional)
1 Sn 0.2828 0.7500 0.3404  4 Pb 3.22-3.53, 4 Bi 3.25-3.46
2 Sn 0.7172 0.2500 0.6596  4 Pb 3.22-3.53, 4 Bi 3.25-3.46
3 Bi 0.8200 0.7500 0.0609  8 Pb 3.36-3.55, 1 Bi 3.41, 1 Sn 3.46
4 Bi 0.1800 0.2500 0.9391  8 Pb 3.36-3.55, 1 Bi 3.41, 1 Sn 3.46
5 Bi 0.2944 0.2500 0.3625  3 Sn 3.25-3.39, 4 Pb 3.35-3.58, 1 Bi 3.41
6 Bi 0.7056 0.7500 0.6375  3 Sn 3.25-3.39, 4 Pb 3.35-3.58, 1 Bi 3.41
7 Pb 0.5807 0.5011 0.2324  7 Pb 3.38-3.68, 4 Bi 3.51-3.65, 1 Sn 3.53
8 Pb 0.1604 0.7500 0.9368  1 Sn 3.22, 4 Bi 3.39-3.55, 1 Pb 3.52
9 Pb 0.8396 0.2500 0.0632  1 Sn 3.22, 4 Bi 3.39-3.55, 1 Pb 3.52
10 Pb 0.5807 0.9989 0.2324  7 Pb 3.38-3.68, 4 Bi 3.51-3.65, 1 Sn 3.53
11 Pb 0.9970 0.2500 0.5090  1 Sn 3.24, 2 Bi 3.35-3.36, 7 Pb 3.40-3.59
12 Pb 0.4193 0.0011 0.7676  7 Pb 3.38-3.68, 4 Bi 3.51-3.65, 1 Sn 3.53
13 Pb 0.4193 0.4989 0.7676  7 Pb 3.38-3.68, 4 Bi 3.51-3.65, 1 Sn 3.53
14 Pb 0.0030 0.7500 0.4910  1 Sn 3.24, 2 Bi 3.35-3.36, 7 Pb 3.40-3.59

## Properties
Relative energy among the computed polymorphs (meV per atom): 0
Calculated volume (Å³/cell): 446.26

# 4
DFT (PBE-GGA) results for SnBiPb2 after structural relaxation.

a = 3.3576 Å, b = 5.7859 Å, c = 12.7973 Å
α = 90.00°, β = 97.54°, γ = 90.00°
With the nearest neighbours (Å) after each atom.
Element x y z (fractional)
1 Sn 0.0227 0.2500 0.0453  4 Sn 3.11-3.36, 3 Pb 3.26-3.45
2 Sn 0.9773 0.7500 0.9547  4 Sn 3.11-3.36, 3 Pb 3.26-3.45
3 Bi 0.7766 0.2500 0.5533  6 Bi 3.36-3.61, 6 Pb 3.42-3.64
4 Bi 0.2234 0.7500 0.4467  6 Bi 3.36-3.61, 6 Pb 3.42-3.64
5 Pb 0.1511 0.2500 0.3023  1 Sn 3.26, 6 Pb 3.36-3.63, 4 Bi 3.42-3.60
6 Pb 0.8489 0.7500 0.6977  1 Sn 3.26, 6 Pb 3.36-3.63, 4 Bi 3.42-3.60
7 Pb 0.4041 0.2500 0.8081  6 Pb 3.36-3.63, 2 Sn 3.45, 2 Bi 3.64
8 Pb 0.5959 0.7500 0.1919  6 Pb 3.36-3.63, 2 Sn 3.45, 2 Bi 3.64

## Properties
Relative energy among the computed polymorphs (meV per atom): 19
Calculated volume (Å³/cell): 246.47

# 5
DFT (PBE-GGA) results for SnBi2Pb4 after structural relaxation.

a = 3.4762 Å, b = 3.4762 Å, c = 21.0888 Å
α = 85.27°, β = 85.27°, γ = 60.00°
With the nearest neighbours (Å) after each atom.
Element x y z (fractional)
1 Sn 0.0000 0.0000 0.0000  6 Sn 3.48, 6 Pb 3.51
2 Bi 0.5716 0.5716 0.2853  6 Bi 3.48, 6 Pb 3.60-3.70
3 Bi 0.4284 0.4284 0.7147  6 Bi 3.48, 6 Pb 3.60-3.70
4 Pb 0.8575 0.8575 0.4276  9 Pb 3.48-3.64, 3 Bi 3.60
5 Pb 0.7124 0.7124 0.8628  6 Pb 3.48, 3 Sn 3.51, 3 Bi 3.70
6 Pb 0.2876 0.2876 0.1372  6 Pb 3.48, 3 Sn 3.51, 3 Bi 3.70
7 Pb 0.1425 0.1425 0.5724  9 Pb 3.48-3.64, 3 Bi 3.60

## Properties
Relative energy among the computed polymorphs (meV per atom): 11
Calculated volume (Å³/cell): 219.70

# 6
DFT (PBE-GGA) results for SnBi4Pb12 after structural relaxation.

a = 9.3918 Å, b = 9.4312 Å, c = 9.4209 Å
α = 109.52°, β = 109.35°, γ = 109.41°
With the nearest neighbours (Å) after each atom.
Element x y z (fractional)
1 Sn 0.0000 0.0000 0.0000  12 Pb 4.12-4.14
2 Bi 0.0000 0.5000 0.0000  6 Pb 3.15
3 Bi 0.0000 0.0000 0.5000  6 Pb 3.15
4 Bi 0.5000 0.0000 0.0000  6 Pb 3.15
5 Bi 0.5000 0.5000 0.5000  6 Pb 3.15
6 Pb 0.7936 0.1454 0.6491  2 Bi 3.15, 2 Pb 3.15-3.24
7 Pb 0.8547 0.3506 0.2058  2 Bi 3.15, 2 Pb 3.15-3.24
8 Pb 0.3519 0.4965 0.1452  2 Bi 3.15, 2 Pb 3.15-3.24
9 Pb 0.1445 0.3510 0.4964  2 Bi 3.15, 2 Pb 3.15-3.24
10 Pb 0.6481 0.5035 0.8548  2 Bi 3.15, 2 Pb 3.15-3.24
11 Pb 0.1453 0.6494 0.7942  2 Bi 3.15, 2 Pb 3.15-3.24
12 Pb 0.6493 0.7945 0.1451  2 Bi 3.15, 2 Pb 3.15-3.24
13 Pb 0.3507 0.2055 0.8549  2 Bi 3.15, 2 Pb 3.15-3.24
14 Pb 0.8555 0.6490 0.5036  2 Bi 3.15, 2 Pb 3.15-3.24
15 Pb 0.4960 0.1451 0.3510  2 Bi 3.15, 2 Pb 3.15-3.24
16 Pb 0.5040 0.8549 0.6490  2 Bi 3.15, 2 Pb 3.15-3.24
17 Pb 0.2064 0.8546 0.3509  2 Bi 3.15, 2 Pb 3.15-3.24

## Properties
Calculated volume (Å³/cell): 643.43

# 7
DFT (PBE-GGA) results for Sn4BiPb15 after structural relaxation.

a = 5.9867 Å, b = 5.9867 Å, c = 17.2469 Å
α = 90.00°, β = 90.00°, γ = 90.00°
With the nearest neighbours (Å) after each atom.
Element x y z (fractional)
1 Sn 0.0000 0.0000 0.2073  1 Sn 3.33, 8 Pb 3.40-3.51, 1 Bi 3.57
2 Sn 0.0000 0.0000 0.4006  2 Sn 3.33-3.43, 8 Pb 3.45
3 Sn 0.0000 0.0000 0.5994  2 Sn 3.33-3.43, 8 Pb 3.45
4 Sn 0.0000 0.0000 0.7927  1 Sn 3.33, 8 Pb 3.40-3.51, 1 Bi 3.57
5 Bi 0.0000 0.0000 0.0000  8 Pb 3.46, 2 Sn 3.57
6 Pb 0.5000 0.5000 0.0000  10 Pb 3.46
7 Pb 0.5000 0.5000 0.2009  10 Pb 3.45-3.46
8 Pb 0.5000 0.5000 0.4008  10 Pb 3.42-3.46
9 Pb 0.5000 0.5000 0.5992  10 Pb 3.42-3.46
10 Pb 0.5000 0.5000 0.7991  10 Pb 3.45-3.46
11 Pb 0.5000 0.0000 0.1009  6 Pb 3.44-3.48, 2 Bi 3.46, 2 Sn 3.51
12 Pb 0.5000 0.0000 0.3006  4 Sn 3.40-3.45, 6 Pb 3.44-3.46
13 Pb 0.5000 0.0000 0.5000  6 Pb 3.44-3.45, 4 Sn 3.45
14 Pb 0.5000 0.0000 0.6994  4 Sn 3.40-3.45, 6 Pb 3.44-3.46
15 Pb 0.5000 0.0000 0.8991  6 Pb 3.44-3.48, 2 Bi 3.46, 2 Sn 3.51
16 Pb 0.0000 0.5000 0.1009  6 Pb 3.44-3.48, 2 Bi 3.46, 2 Sn 3.51
17 Pb 0.0000 0.5000 0.3006  4 Sn 3.40-3.45, 6 Pb 3.44-3.46
18 Pb 0.0000 0.5000 0.5000  6 Pb 3.44-3.45, 4 Sn 3.45
19 Pb 0.0000 0.5000 0.6994  4 Sn 3.40-3.45, 6 Pb 3.44-3.46
20 Pb 0.0000 0.5000 0.8991  6 Pb 3.44-3.48, 2 Bi 3.46, 2 Sn 3.51

## Properties
Calculated volume (Å³/cell): 618.14

# 8
DFT (PBE-GGA) results for SnBi2Pb8 after structural relaxation.

a = 4.8916 Å, b = 9.7987 Å, c = 9.3172 Å
α = 121.72°, β = 104.76°, γ = 90.00°
With the nearest neighbours (Å) after each atom.
Element x y z (fractional)
1 Sn 0.5000 0.0000 0.0000  12 Pb 3.36-3.60
2 Bi 0.1791 0.6776 0.3552  10 Pb 3.40-3.54
3 Bi 0.8209 0.3224 0.6448  10 Pb 3.40-3.54
4 Pb 0.6599 0.9024 0.3216  3 Bi 3.40-3.52, 7 Pb 3.44-3.67, 1 Sn 3.51
5 Pb 0.3401 0.5808 0.6784  3 Bi 3.40-3.52, 7 Pb 3.44-3.67, 1 Sn 3.51
6 Pb 0.1542 0.1538 0.3077  2 Sn 3.36-3.39, 8 Pb 3.52-3.67, 2 Bi 3.52-3.54
7 Pb 0.0000 0.2702 0.0000  6 Pb 3.44-3.52, 2 Bi 3.50-3.51, 2 Sn 3.60
8 Pb 0.8458 0.8462 0.6923  2 Sn 3.36-3.39, 8 Pb 3.52-3.67, 2 Bi 3.52-3.54
9 Pb 0.6599 0.4192 0.3216  3 Bi 3.40-3.52, 7 Pb 3.44-3.67, 1 Sn 3.51
10 Pb 0.3401 0.0976 0.6784  3 Bi 3.40-3.52, 7 Pb 3.44-3.67, 1 Sn 3.51
11 Pb 0.0000 0.7298 0.0000  6 Pb 3.44-3.52, 2 Bi 3.50-3.51, 2 Sn 3.60

## Properties
Relative energy among the computed polymorphs (meV per atom): 0
Calculated volume (Å³/cell): 362.42

In order of appearance, total DFT energy (no corrections) = -3.724; -3.794; -3.764; -3.765; -3.753; -3.527; -3.738; -3.725 eV/atom.
In order of appearance, E_form = 0.058; 0.101; 0.035; 0.060; 0.046; 0.240; 0.038; 0.041 eV per atom.
In order of appearance, spin magnetization = 0.00; 0.00; 0.00; 0.00; 0.00; 0.00; 0.00; 0.00 μB/f.u..